No. 1
DFT (GGA-PBE) results for SiAsCl2 after structural relaxation.

Lattice parameters (Å, degrees): 3.1654 3.1654 27.6211 90.00 90.00 120.00
Space group R-3m (No. 166, hexagonal axes)
Inequivalent atoms, fractional coordinates:
Si (0.0000, 0.0000, 0.0000) x3
As (0.0000, 0.0000, 0.5000) x3
Cl (0.0000, 0.0000, 0.0840) x6

Properties
**E_form (uncorrected)**: 0.2213 eV/atom
**Size of the total moment**: 0.00 μB/cell
**Total DFT energy (no corrections)**: -0.118 Ha/atom



No. 2
DFT (GGA-PBE) results for SiAsCl2 after structural relaxation.

Lattice parameters (Å, degrees): 6.832 6.832 6.832 90.00 90.00 90.00
Space group Fm-3m (No. 225)
Inequivalent atoms, fractional coordinates:
Si (0.000, 0.000, 0.000) x4
As (0.000, 0.000, 0.500) x4
Cl (0.250, 0.250, 0.250) x8

Properties
**E_form (uncorrected)**: 0.5829 eV/atom
**Size of the total moment**: 0.00 μB/cell
**Total DFT energy (no corrections)**: -0.105 Ha/atom



No. 3
DFT (GGA-PBE) results for Si3AsCl after structural relaxation.

Lattice parameters (Å, degrees): 4.990 4.990 4.990 90.00 90.00 90.00
Space group Pm-3m (No. 221)
Inequivalent atoms, fractional coordinates:
Si (0.000, 0.000, 0.500) x3
As (0.000, 0.000, 0.000) x1
Cl (0.500, 0.500, 0.500) x1

Properties
**E_form (uncorrected)**: 1.0389 eV/atom
**Size of the total moment**: 0.00 μB/cell
**Total DFT energy (no corrections)**: -0.129 Ha/atom



No. 4
DFT (GGA-PBE) results for SiAsCl2 after structural relaxation.

Lattice parameters (Å, degrees): 3.167 5.645 8.871 90.00 90.00 90.00
Space group Cmmm (No. 65)
Inequivalent atoms, fractional coordinates:
Si (0.000, 0.000, 0.000) x2
As (0.000, 0.000, 0.500) x2
Cl (0.000, 0.500, 0.230) x4

Properties
**E_form (uncorrected)**: 0.2556 eV/atom
**Size of the total moment**: 0.00 μB/cell
**Total DFT energy (no corrections)**: -0.117 Ha/atom



No. 5
DFT (GGA-PBE) results for SiAsCl2 after structural relaxation.

Lattice parameters (Å, degrees): 4.346 4.346 4.189 90.00 90.00 90.00
Space group P4/mmm (No. 123)
Inequivalent atoms, fractional coordinates:
Si (0.000, 0.000, 0.000) x1
As (0.500, 0.500, 0.000) x1
Cl (0.000, 0.500, 0.500) x2

Properties
**E_form (uncorrected)**: 0.4829 eV/atom
**Size of the total moment**: 0.00 μB/cell
**Total DFT energy (no corrections)**: -0.109 Ha/atom



No. 6
DFT (GGA-PBE) results for SiAsCl2 after structural relaxation.

Lattice parameters (Å, degrees): 3.8544 3.8544 23.5589 90.00 90.00 120.00
Space group R3m (No. 160, hexagonal axes)
Inequivalent atoms, fractional coordinates:
Si (0.0000, 0.0000, 0.0000) x3
As (0.0000, 0.0000, 0.7091) x3
Cl (0.0000, 0.0000, 0.2654) x3
Cl (0.0000, 0.0000, 0.4499) x3

Properties
**E_form (uncorrected)**: -0.0572 eV/atom
**Size of the total moment**: 1.60 μB/cell
**Total DFT energy (no corrections)**: -0.129 Ha/atom



No. 7
DFT (GGA-PBE) results for SiAsCl2 after structural relaxation.

Lattice parameters (Å, degrees): 3.230 4.363 14.078 90.00 90.00 90.00
Space group Imm2 (No. 44)
Inequivalent atoms, fractional coordinates:
Si (0.000, 0.000, 0.000) x2
As (0.000, 0.500, 0.652) x2
Cl (0.000, 0.000, 0.456) x2
Cl (0.000, 0.500, 0.185) x2

Properties
**E_form (uncorrected)**: 0.1108 eV/atom
**Size of the total moment**: 0.00 μB/cell
**Total DFT energy (no corrections)**: -0.122 Ha/atom



No. 8
DFT (GGA-PBE) results for Si4AsCl after structural relaxation.

Lattice parameters (Å, degrees): 7.440 7.440 7.440 90.00 90.00 90.00
Space group F-43m (No. 216)
Inequivalent atoms, fractional coordinates:
Si (0.124, 0.124, 0.124) x16
As (0.000, 0.000, 0.500) x4
Cl (0.250, 0.250, 0.750) x4

Properties
**E_form (uncorrected)**: 0.5756 eV/atom
**Size of the total moment**: 0.00 μB/cell
**Total DFT energy (no corrections)**: -0.151 Ha/atom